[1]
Density functional theory data (PBE) for a relaxed HfTiSCl2 crystal.

The structure belongs to space group P4/mmm (No. 123); the cell edges are 4.649, 4.649 and 4.884 Å and the angles 90.00°, 90.00° and 90.00°. Symmetry generates all atoms from Hf at (0.000, 0.000, 0.000), Ti at (0.500, 0.500, 0.500), S at (0.500, 0.500, 0.000) and Cl at (0.000, 0.500, 0.500).

The energy above the most stable polymorph in this dataset is 189 meV/atom. The density of states at the Fermi level comes out at 5.80 states/eV/f.u. The value obtained for the total energy is -0.3969 Ry per atom. The formation energy (no corrections) comes out at -0.267 eV per atom.

[2]
Density functional theory data (PBE) for a relaxed MgAuBr2 crystal.

The structure belongs to space group F-43m (No. 216); the cell edges are 7.214, 7.214 and 7.214 Å and the angles 90.00°, 90.00° and 90.00°. Symmetry generates all atoms from Mg at (0.000, 0.000, 0.000), Au at (0.250, 0.250, 0.750), Br at (0.000, 0.000, 0.500) and Br at (0.250, 0.250, 0.250).

The energy above the most stable polymorph in this dataset is 556 meV/atom. The density of states at the Fermi level comes out at 3.63 states/eV/f.u. The value obtained for the total energy is -0.1561 Ry per atom. The formation energy (no corrections) comes out at -0.069 eV per atom.

[3]
Density functional theory data (PBE) for a relaxed PuZn2Pd5 crystal.

The structure belongs to space group Immm (No. 71); the cell edges are 2.938, 8.228 and 10.922 Å and the angles 90.00°, 90.00° and 90.00°. Symmetry generates all atoms from Pu at (0.000, 0.000, 0.000), Zn at (0.000, 0.500, 0.237), Pd at (0.000, 0.234, 0.366) and Pd at (0.000, 0.500, 0.000).

The density of states at the Fermi level comes out at 12.18 states/eV/f.u. The value obtained for the total energy is -0.4215 Ry per atom.

[4]
Density functional theory data (PBE) for a relaxed Zr3Cl crystal.

The structure belongs to space group P6_3/mmc (No. 194); the cell edges are 6.1046, 6.1046 and 5.3672 Å and the angles 90.00°, 90.00° and 120.00°. Symmetry generates all atoms from Zr at (0.1625, 0.3251, 0.2500) and Cl at (0.3333, 0.6667, 0.7500).

The energy above the most stable polymorph in this dataset is 621 meV/atom. The density of states at the Fermi level comes out at 5.92 states/eV/f.u. The value obtained for the total energy is -0.4897 Ry per atom. The formation energy (no corrections) comes out at 0.211 eV per atom.

[5]
Density functional theory data (PBE) for a relaxed DyRh6 crystal.

The structure belongs to space group Im-3m (No. 229); the cell edges are 6.727, 6.727 and 6.727 Å and the angles 90.00°, 90.00° and 90.00°. Symmetry generates all atoms from Dy at (0.000, 0.000, 0.000) and Rh at (0.000, 0.250, 0.500).

The energy above the most stable polymorph in this dataset is 712 meV/atom. The density of states at the Fermi level comes out at 7.99 states/eV/f.u. The value obtained for the total energy is -0.4759 Ry per atom.

[6]
Density functional theory data (PBE) for a relaxed Tb2Dy2Y6Pu crystal.

The structure belongs to space group C2/m (No. 12); the cell edges are 5.839, 11.260 and 11.047 Å and the angles 90.00°, 97.57° and 90.00°. Symmetry generates all atoms from Tb at (0.000, 0.144, 0.000), Dy at (0.000, 0.176, 0.500), Y at (0.071, 0.342, 0.226), Y at (0.090, 0.000, 0.269) and Pu at (0.000, 0.500, 0.500).

The density of states at the Fermi level comes out at 21.99 states/eV/f.u. The value obtained for the total energy is -0.4638 Ry per atom.

[7]
Density functional theory data (PBE) for a relaxed SiIr2Au crystal.

The structure belongs to space group Cm (No. 8); the cell edges are 9.713, 2.810 and 5.005 Å and the angles 90.00°, 116.43° and 90.00°. Symmetry generates all atoms from Si at (0.000, 0.000, 0.000), Ir at (0.044, 0.500, 0.423), Ir at (0.319, 0.000, 0.610) and Au at (0.237, 0.500, 0.053).

The density of states at the Fermi level comes out at 1.82 states/eV/f.u. The value obtained for the total energy is -0.4852 Ry per atom. The formation energy (no corrections) comes out at 0.004 eV per atom.

[8]
Density functional theory data (PBE) for a relaxed KCdAs2 crystal.

The structure belongs to space group P2/m (No. 10); the cell edges are 2.960, 4.218 and 8.197 Å and the angles 90.00°, 90.32° and 90.00°. Symmetry generates all atoms from K at (0.000, 0.000, 0.000), Cd at (0.500, 0.000, 0.500) and As at (0.497, 0.500, 0.719).

The density of states at the Fermi level comes out at 1.63 states/eV/f.u. The value obtained for the total energy is -0.2096 Ry per atom.

[9]
Density functional theory data (PBE) for a relaxed EuHoGaPt crystal.

The structure belongs to space group F-43m (No. 216); the cell edges are 7.172, 7.172 and 7.172 Å and the angles 90.00°, 90.00° and 90.00°. Symmetry generates all atoms from Eu at (0.000, 0.000, 0.000), Ho at (0.000, 0.000, 0.500), Ga at (0.250, 0.250, 0.250) and Pt at (0.250, 0.250, 0.750).

The density of states at the Fermi level comes out at 5.36 states/eV/f.u. The value obtained for the total energy is -0.4935 Ry per atom.

[10]
Density functional theory data (PBE) for a relaxed Ac4Tb2Pr3 crystal.

The structure belongs to space group P-1 (No. 2); the cell edges are 5.433, 6.517 and 11.393 Å and the angles 74.51°, 90.00° and 65.45°. Symmetry generates all atoms from Ac at (0.002, 0.496, 0.331), Ac at (0.334, 0.833, 0.111), Tb at (0.329, 0.841, 0.773), Pr at (0.000, 0.500, 0.000) and Pr at (0.334, 0.833, 0.447).

The density of states at the Fermi level comes out at 15.13 states/eV/f.u. The value obtained for the total energy is -0.3240 Ry per atom.

[11]
Density functional theory data (PBE) for a relaxed Re2Mo3 crystal.

The structure belongs to space group P-3m1 (No. 164); the cell edges are 4.3172, 4.3172 and 5.3546 Å and the angles 90.00°, 90.00° and 120.00°. Symmetry generates all atoms from Re at (0.3333, 0.6667, 0.3318), Mo at (0.0000, 0.0000, 0.5000) and Mo at (0.3333, 0.6667, 0.8519).

The density of states at the Fermi level comes out at 3.31 states/eV/f.u. The value obtained for the total energy is -0.8129 Ry per atom.

[12]
Density functional theory data (PBE) for a relaxed Sr4LaAg5 crystal.

The structure belongs to space group P4/mmm (No. 123); the cell edges are 3.920, 3.920 and 19.496 Å and the angles 90.00°, 90.00° and 90.00°. Symmetry generates all atoms from Sr at (0.000, 0.000, 0.100), Sr at (0.000, 0.000, 0.302), La at (0.000, 0.000, 0.500), Ag at (0.500, 0.500, 0.000), Ag at (0.500, 0.500, 0.200) and Ag at (0.500, 0.500, 0.411).

The density of states at the Fermi level comes out at 8.70 states/eV/f.u. The value obtained for the total energy is -0.2100 Ry per atom.

[13]
Density functional theory data (PBE) for a relaxed AlV4C crystal.

The structure belongs to space group Cmmm (No. 65); the cell edges are 7.500, 8.238 and 2.854 Å and the angles 90.00°, 90.00° and 90.00°. Symmetry generates all atoms from Al at (0.000, 0.000, 0.000), V at (0.000, 0.256, 0.500), V at (0.178, 0.500, 0.000) and C at (0.000, 0.500, 0.500).

The density of states at the Fermi level comes out at 5.47 states/eV/f.u. The value obtained for the total energy is -0.5822 Ry per atom.

[14]
Density functional theory data (PBE) for a relaxed TbPrSc2Hg4 crystal.

The structure belongs to space group R-3m (No. 166, hexagonal axes); the cell edges are 5.1833, 5.1833 and 25.5846 Å and the angles 90.00°, 90.00° and 120.00°. Symmetry generates all atoms from Tb at (0.0000, 0.0000, 0.0000), Pr at (0.0000, 0.0000, 0.5000), Sc at (0.0000, 0.0000, 0.2506), Hg at (0.0000, 0.0000, 0.1215) and Hg at (0.0000, 0.0000, 0.3725).

The density of states at the Fermi level comes out at 8.32 states/eV/f.u. The value obtained for the total energy is -0.2454 Ry per atom.

[15]
Density functional theory data (PBE) for a relaxed Mn3Tl3VS8 crystal.

The structure belongs to space group C2/m (No. 12); the cell edges are 12.265, 7.086 and 8.501 Å and the angles 90.00°, 118.70° and 90.00°. Symmetry generates all atoms from Mn at (0.000, 0.000, 0.000), Mn at (0.250, 0.250, 0.000), Tl at (0.000, 0.500, 0.500), Tl at (0.250, 0.250, 0.500), V at (0.000, 0.500, 0.000), S at (0.025, 0.251, 0.824), S at (0.225, 0.000, 0.174) and S at (0.225, 0.500, 0.176).

The density of states at the Fermi level comes out at 6.34 states/eV/f.u. The value obtained for the total energy is -0.4170 Ry per atom. The formation energy (no corrections) comes out at -0.557 eV per atom.

[16]
Density functional theory data (PBE) for a relaxed FeAsI2 crystal.

The structure belongs to space group Fm-3m (No. 225); the cell edges are 7.263, 7.263 and 7.263 Å and the angles 90.00°, 90.00° and 90.00°. Symmetry generates all atoms from Fe at (0.000, 0.000, 0.000), As at (0.000, 0.000, 0.500) and I at (0.250, 0.250, 0.250).

The energy above the most stable polymorph in this dataset is 233 meV/atom. The density of states at the Fermi level comes out at 4.50 states/eV/f.u. The value obtained for the total energy is -0.2349 Ry per atom. The formation energy (no corrections) comes out at 0.857 eV per atom.